Record 1
Compound: LiCa3
Source: the Alexandria database
Functional: meta-GGA SCAN
Structure: PBEsol geometry

a b c (Å): 5.905 5.905 5.905
angles (deg): 60.00 60.00 60.00
Atoms (fractional coordinates):
Li  0.000  0.000  0.000
Ca  0.750  0.750  0.750
Ca  0.500  0.500  0.500
Ca  0.250  0.250  0.250

**Final energy**: -7.740 eV/atom
**Calculated volume**: 36.4 Å³ per atom


Record 2
Compound: Be2CdTc
Source: the Alexandria database
Functional: meta-GGA SCAN
Structure: PBEsol geometry

a b c (Å): 2.820 2.820 6.229
angles (deg): 90.00 90.00 90.00
Atoms (fractional coordinates):
Be  0.000  0.000  0.021
Tc  0.500  0.500  0.812
Cd  0.000  0.000  0.475
Be  0.500  0.500  0.192

**Final energy**: -18.316 eV/atom
**Calculated volume**: 12.4 Å³ per atom


Record 3
Compound: Dy14Pb3S24
Source: the Alexandria database
Functional: meta-GGA SCAN
Structure: PBEsol geometry

a b c (Å): 7.159 7.159 18.087
angles (deg): 97.57 97.49 109.74
Atoms (fractional coordinates):
S  0.539  0.798  0.707
S  0.423  0.170  0.468
Pb  0.958  0.956  0.670
Dy  0.507  0.125  0.631
S  0.769  0.514  0.134
S  0.191  0.601  0.417
Dy  0.708  0.594  0.804
S  0.702  0.955  0.532
Dy  0.133  0.259  0.879
S  0.689  0.597  0.411
Pb  0.876  0.376  0.500
S  0.512  0.915  0.082
Pb  0.287  0.288  0.330
S  0.091  0.832  0.293
Dy  0.459  0.577  0.539
S  0.199  0.454  0.035
S  0.040  0.295  0.195
S  0.504  0.097  0.244
S  0.184  0.774  0.583
Dy  0.831  0.451  0.288
S  0.368  0.258  0.756
S  0.100  0.845  0.805
S  0.419  0.164  0.965
Dy  0.038  0.920  0.461
S  0.034  0.924  0.084
Dy  0.205  0.706  0.162
Dy  0.380  0.254  0.121
S  0.502  0.612  0.244
S  0.380  0.636  0.866
Dy  0.790  0.904  0.196
Dy  0.494  0.876  0.369
S  0.186  0.278  0.589
S  0.840  0.950  0.916
Dy  0.817  0.206  0.038
S  0.833  0.430  0.918
Dy  0.544  0.043  0.838
Dy  0.168  0.779  0.962
S  0.853  0.260  0.756
S  0.753  0.511  0.638
S  0.873  0.115  0.362
Dy  0.163  0.543  0.712

**Final energy**: -29.534 eV/atom
**Energy relative to the elements, uncorrected**: -2.03 eV/atom
**Calculated volume**: 20.7 Å³ per atom


Record 4
Compound: YZn2Hg
Source: the Alexandria database
Functional: meta-GGA SCAN
Structure: PBEsol geometry

a b c (Å): 3.300 3.300 7.073
angles (deg): 90.00 90.00 90.00
Atoms (fractional coordinates):
Zn  0.000  0.000  0.042
Zn  0.500  0.500  0.223
Y  0.500  0.500  0.766
Hg  0.000  0.000  0.468

**Final energy**: -31.025 eV/atom
**Calculated volume**: 19.3 Å³ per atom


Record 5
Compound: ZnCu
Source: the Alexandria database
Functional: meta-GGA SCAN
Structure: PBEsol geometry

a b c (Å): 4.114 4.114 4.114
angles (deg): 60.00 60.00 60.00
Atoms (fractional coordinates):
Zn  0.750  0.750  0.750
Zn  0.500  0.500  0.500
Cu  0.250  0.250  0.250
Cu  0.000  0.000  0.000

**Final energy**: -14.417 eV/atom
**Calculated volume**: 12.3 Å³ per atom


Record 6
Compound: SrMo2Se
Source: the Alexandria database
Functional: meta-GGA SCAN
Structure: PBEsol geometry

a b c (Å): 3.876 3.876 5.997
angles (deg): 108.86 108.86 90.00
Atoms (fractional coordinates):
Mo  0.250  0.750  0.500
Mo  0.750  0.250  0.500
Se  0.500  0.500  0.000
Sr  0.000  0.000  0.000

**Final energy**: -27.361 eV/atom
**Energy relative to the elements, uncorrected**: 0.67 eV/atom
**Calculated volume**: 20.0 Å³ per atom


Record 7
Compound: PIrCl
Source: the Alexandria database
Functional: meta-GGA SCAN
Structure: PBEsol geometry

a b c (Å): 4.162 4.162 4.162
angles (deg): 60.00 60.00 60.00
Atoms (fractional coordinates):
Ir  0.500  0.500  0.500
Cl  0.000  0.000  0.000
P  0.750  0.750  0.750

**Final energy**: -28.779 eV/atom
**Energy relative to the elements, uncorrected**: 1.05 eV/atom
**Calculated volume**: 17.0 Å³ per atom


Record 8
Compound: SrGa2Sn2
Source: the Alexandria database
Functional: meta-GGA SCAN
Structure: PBEsol geometry

a b c (Å): 5.014 5.014 6.278
angles (deg): 113.53 113.53 90.00
Atoms (fractional coordinates):
Sr  0.000  0.000  0.000
Sn  0.637  0.637  0.275
Sn  0.363  0.363  0.725
Ga  0.750  0.250  0.500
Ga  0.250  0.750  0.500

**Final energy**: -25.706 eV/atom
**Calculated volume**: 26.1 Å³ per atom


Record 9
Compound: Nb2Tl2N
Source: the Alexandria database
Functional: meta-GGA SCAN
Structure: PBEsol geometry

a b c (Å): 3.752 3.752 7.558
angles (deg): 104.37 104.37 90.00
Atoms (fractional coordinates):
Tl  0.750  0.250  0.500
Nb  0.417  0.417  0.835
Tl  0.250  0.750  0.500
Nb  0.583  0.583  0.165
N  0.000  0.000  0.000

**Final energy**: -42.642 eV/atom
**Energy relative to the elements, uncorrected**: 1.41 eV/atom
**Calculated volume**: 19.9 Å³ per atom


Record 10
Compound: BaScPb2
Source: the Alexandria database
Functional: meta-GGA SCAN
Structure: PBEsol geometry

a b c (Å): 4.632 5.100 5.100
angles (deg): 90.00 90.00 90.00
Atoms (fractional coordinates):
Pb  0.000  0.500  0.000
Sc  0.500  0.500  0.500
Pb  0.000  0.000  0.500
Ba  0.500  0.000  0.000

**Final energy**: -51.707 eV/atom
**Calculated volume**: 30.1 Å³ per atom